The following is a PBE calculation of a geometry-optimized NdHoTlAg structure, from the Alexandria database.

**Calculated density**: 9.64 Mg/m³
**ΔH_f (0 K)**: -332 meV/atom
**Energy above the lowest structure with this stoichiometry**: 0 meV/atom
**Raw total energy**: -0.14599 hartree per atom

a b c (Å): 3.6880 3.6880 7.8674
angles (deg): 90.00 90.00 90.00
Fractional positions:
Nd 0.0000 0.0000 0.0000
Ho 0.0000 0.0000 0.5300
Tl 0.5000 0.5000 0.2740
Ag 0.5000 0.5000 0.7386



The following is a PBE calculation of a geometry-optimized TiTl3Br structure, from the Alexandria database.

**Calculated density**: 6.95 Mg/m³
**Energy above the lowest structure with this stoichiometry**: 0 meV/atom
**Raw total energy**: -0.11440 hartree per atom

a b c (Å): 5.6159 5.6159 5.6159
angles (deg): 90.00 90.00 90.00
Fractional positions:
Ti 0.0000 0.0000 0.0000
Tl 0.0000 0.0000 0.5000
Tl 0.0000 0.5000 0.0000
Tl 0.5000 0.0000 0.0000
Br 0.5000 0.5000 0.5000



The following is a PBE calculation of a geometry-optimized CsTlI2F6 structure, from the Alexandria database.

**Calculated density**: 4.25 Mg/m³
**Raw total energy**: -0.12454 hartree per atom

a b c (Å): 7.7597 7.7597 9.1476
angles (deg): 90.71 90.71 89.75
Fractional positions:
Cs 0.1200 0.8800 0.7500
Cs 0.8800 0.1200 0.2500
Tl 0.3668 0.6332 0.2500
Tl 0.6332 0.3668 0.7500
I 0.1269 0.3878 0.9179
I 0.3878 0.1269 0.4179
I 0.6122 0.8731 0.5821
I 0.8731 0.6122 0.0821
F 0.0583 0.8043 0.0895
F 0.1957 0.9417 0.4105
F 0.2184 0.3261 0.2969
F 0.3026 0.5860 0.9320
F 0.3261 0.2184 0.7969
F 0.4140 0.6974 0.5680
F 0.5860 0.3026 0.4320
F 0.6739 0.7816 0.2031
F 0.6974 0.4140 0.0680
F 0.7816 0.6739 0.7031
F 0.8043 0.0583 0.5895
F 0.9417 0.1957 0.9105



The following is a PBE calculation of a geometry-optimized CaMoH2Au structure, from the Alexandria database.

**Calculated density**: 6.69 Mg/m³
**Raw total energy**: -0.15953 hartree per atom

a b c (Å): 3.9557 3.9557 5.3174
angles (deg): 90.00 90.00 90.00
Fractional positions:
Ca 0.0000 0.0000 0.0000
Mo 0.5000 0.5000 0.5000
H 0.0000 0.5000 0.5000
H 0.5000 0.0000 0.5000
Au 0.5000 0.5000 0.0000



The following is a PBE calculation of a geometry-optimized AgRhBr2 structure, from the Alexandria database.

**Calculated density**: 6.67 Mg/m³
**Energy above the lowest structure with this stoichiometry**: 475 meV/atom
**Raw total energy**: -0.10995 hartree per atom

a b c (Å): 3.0383 3.0383 34.6352
angles (deg): 90.00 90.00 120.00
Fractional positions:
Ag 0.0000 0.0000 0.0000
Ag 0.3333 0.6667 0.6667
Ag 0.6667 0.3333 0.3333
Rh 0.0000 0.0000 0.5000
Rh 0.3333 0.6667 0.1667
Rh 0.6667 0.3333 0.8333
Br 0.0000 0.0000 0.4314
Br 0.0000 0.0000 0.5686
Br 0.3333 0.6667 0.0980
Br 0.3333 0.6667 0.2353
Br 0.6667 0.3333 0.7647
Br 0.6667 0.3333 0.9020



The following is a PBE calculation of a geometry-optimized NaV2Ag structure, from the Alexandria database.

**Calculated density**: 5.15 Mg/m³
**ΔH_f (0 K)**: 1015 meV/atom
**Energy above the lowest structure with this stoichiometry**: 866 meV/atom
**Raw total energy**: -0.16855 hartree per atom

a b c (Å): 6.6939 6.6939 6.6939
angles (deg): 90.00 90.00 90.00
Fractional positions:
Na 0.0000 0.0000 0.0000
Na 0.0000 0.5000 0.5000
Na 0.5000 0.0000 0.5000
Na 0.5000 0.5000 0.0000
V 0.2500 0.2500 0.2500
V 0.2500 0.2500 0.7500
V 0.2500 0.7500 0.2500
V 0.2500 0.7500 0.7500
V 0.7500 0.2500 0.2500
V 0.7500 0.2500 0.7500
V 0.7500 0.7500 0.2500
V 0.7500 0.7500 0.7500
Ag 0.0000 0.0000 0.5000
Ag 0.0000 0.5000 0.0000
Ag 0.5000 0.0000 0.0000
Ag 0.5000 0.5000 0.5000



The following is a PBE calculation of a geometry-optimized Th3Sc2Co2 structure, from the Alexandria database.

**Calculated density**: 9.06 Mg/m³
**ΔH_f (0 K)**: -178 meV/atom
**Raw total energy**: -0.26448 hartree per atom

a b c (Å): 11.5762 3.6138 8.3511
angles (deg): 90.00 108.46 90.00
Fractional positions:
Th 0.0000 0.0000 0.0000
Th 0.1189 0.0000 0.4327
Th 0.3811 0.5000 0.5673
Th 0.5000 0.5000 0.0000
Th 0.6189 0.5000 0.4327
Th 0.8811 0.0000 0.5673
Sc 0.1788 0.5000 0.8155
Sc 0.3212 0.0000 0.1845
Sc 0.6788 0.0000 0.8155
Sc 0.8212 0.5000 0.1845
Co 0.1542 0.5000 0.1843
Co 0.3458 0.0000 0.8157
Co 0.6542 0.0000 0.1843
Co 0.8458 0.5000 0.8157



The following is a PBE calculation of a geometry-optimized VIr2Rh structure, from the Alexandria database.

**Calculated density**: 14.40 Mg/m³
**ΔH_f (0 K)**: 195 meV/atom
**Energy above the lowest structure with this stoichiometry**: 645 meV/atom
**Raw total energy**: -0.30698 hartree per atom

a b c (Å): 3.7388 3.7388 17.7661
angles (deg): 90.00 90.00 90.00
Fractional positions:
V 0.0000 0.0000 0.0000
V 0.0000 0.5000 0.2500
V 0.5000 0.0000 0.7500
V 0.5000 0.5000 0.5000
Ir 0.2483 0.2500 0.6250
Ir 0.2500 0.7483 0.8750
Ir 0.2500 0.7517 0.3750
Ir 0.2517 0.2500 0.1250
Ir 0.7483 0.7500 0.1250
Ir 0.7500 0.2483 0.3750
Ir 0.7500 0.2517 0.8750
Ir 0.7517 0.7500 0.6250
Rh 0.0000 0.0000 0.5000
Rh 0.0000 0.5000 0.7500
Rh 0.5000 0.0000 0.2500
Rh 0.5000 0.5000 0.0000



The following is a PBE calculation of a geometry-optimized TaW2Au structure, from the Alexandria database.

**Calculated density**: 18.18 Mg/m³
**ΔH_f (0 K)**: 254 meV/atom
**Energy above the lowest structure with this stoichiometry**: 157 meV/atom
**Raw total energy**: -0.36766 hartree per atom

a b c (Å): 2.7518 4.2525 5.8196
angles (deg): 90.00 90.00 90.00
Fractional positions:
Ta 0.0000 0.0000 0.0000
W 0.0000 0.0000 0.4879
W 0.5000 0.5000 0.2564
Au 0.5000 0.5000 0.7490



The following is a PBE calculation of a geometry-optimized BP3Ir structure, from the Alexandria database.

**Calculated density**: 7.66 Mg/m³
**ΔH_f (0 K)**: 763 meV/atom
**Energy above the lowest structure with this stoichiometry**: 0 meV/atom
**Raw total energy**: -0.20544 hartree per atom

a b c (Å): 4.0025 4.0025 4.0025
angles (deg): 90.00 90.00 90.00
Fractional positions:
B 0.0000 0.0000 0.0000
P 0.0000 0.0000 0.5000
P 0.0000 0.5000 0.0000
P 0.5000 0.0000 0.0000
Ir 0.5000 0.5000 0.5000



The following is a PBE calculation of a geometry-optimized Ba3Mg structure, from the Alexandria database.

**Calculated density**: 3.48 Mg/m³
**ΔH_f (0 K)**: 29 meV/atom
**Energy above the lowest structure with this stoichiometry**: 43 meV/atom
**Raw total energy**: -0.06658 hartree per atom

a b c (Å): 10.3443 13.0559 6.1638
angles (deg): 90.00 90.00 90.00
Fractional positions:
Ba 0.0000 0.1164 0.2500
Ba 0.0000 0.8836 0.7500
Ba 0.2089 0.3794 0.2500
Ba 0.2089 0.6206 0.7500
Ba 0.2911 0.1206 0.7500
Ba 0.2911 0.8794 0.2500
Ba 0.5000 0.3836 0.7500
Ba 0.5000 0.6164 0.2500
Ba 0.7089 0.1206 0.7500
Ba 0.7089 0.8794 0.2500
Ba 0.7911 0.3794 0.2500
Ba 0.7911 0.6206 0.7500
Mg 0.0000 0.3119 0.7500
Mg 0.0000 0.6881 0.2500
Mg 0.5000 0.1881 0.2500
Mg 0.5000 0.8119 0.7500



The following is a PBE calculation of a geometry-optimized BaSr2Cu structure, from the Alexandria database.

**Calculated density**: 3.74 Mg/m³
**ΔH_f (0 K)**: 256 meV/atom
**Energy above the lowest structure with this stoichiometry**: 258 meV/atom
**Raw total energy**: -0.07679 hartree per atom

a b c (Å): 5.2586 5.2811 6.0091
angles (deg): 90.00 90.00 90.00
Fractional positions:
Ba 0.0000 0.0000 0.0000
Sr 0.0000 0.5000 0.5000
Sr 0.5000 0.0000 0.5000
Cu 0.5000 0.5000 0.0000



The following is a PBE calculation of a geometry-optimized Rb2SnCl4 structure, from the Alexandria database.

**Calculated density**: 3.00 Mg/m³
**Energy above the lowest structure with this stoichiometry**: 0 meV/atom
**Raw total energy**: -0.12675 hartree per atom

a b c (Å): 14.1639 4.3271 8.8746
angles (deg): 90.00 118.45 90.00
Fractional positions:
Rb 0.1505 0.0000 0.1816
Rb 0.3495 0.5000 0.8184
Rb 0.6505 0.5000 0.1816
Rb 0.8495 0.0000 0.8184
Sn 0.0000 0.5000 0.5000
Sn 0.5000 0.0000 0.5000
Cl 0.0510 0.5000 0.8475
Cl 0.1542 0.0000 0.5688
Cl 0.3458 0.5000 0.4312
Cl 0.4490 0.0000 0.1525
Cl 0.5510 0.0000 0.8475
Cl 0.6542 0.5000 0.5688
Cl 0.8458 0.0000 0.4312
Cl 0.9490 0.5000 0.1525



The following is a PBE calculation of a geometry-optimized NpZnAu2 structure, from the Alexandria database.

**Calculated density**: 15.15 Mg/m³
**ΔH_f (0 K)**: -166 meV/atom
**Raw total energy**: -0.19692 hartree per atom

a b c (Å): 3.1196 3.1196 7.8420
angles (deg): 90.00 90.00 90.00
Fractional positions:
Np 0.0000 0.0000 0.0000
Zn 0.0000 0.0000 0.5000
Au 0.5000 0.5000 0.2871
Au 0.5000 0.5000 0.7129



The following is a PBE calculation of a geometry-optimized TaReTc2 structure, from the Alexandria database.

**Calculated density**: 15.03 Mg/m³
**ΔH_f (0 K)**: -10 meV/atom
**Energy above the lowest structure with this stoichiometry**: 67 meV/atom
**Raw total energy**: -0.41411 hartree per atom

a b c (Å): 5.4792 8.7962 2.7518
angles (deg): 90.00 110.27 90.00
Fractional positions:
Ta 0.0000 0.0000 0.0000
Ta 0.5000 0.5000 0.0000
Re 0.0000 0.5000 0.0000
Re 0.5000 0.0000 0.0000
Tc 0.2500 0.2500 0.5000
Tc 0.2500 0.7500 0.5000
Tc 0.7500 0.2500 0.5000
Tc 0.7500 0.7500 0.5000



The following is a PBE calculation of a geometry-optimized Ce2ScHg structure, from the Alexandria database.

**Calculated density**: 8.72 Mg/m³
**ΔH_f (0 K)**: 56 meV/atom
**Energy above the lowest structure with this stoichiometry**: 197 meV/atom
**Raw total energy**: -0.16793 hartree per atom

a b c (Å): 3.1470 3.1470 35.0226
angles (deg): 90.00 90.00 120.00
Fractional positions:
Ce 0.0000 0.0000 0.0859
Ce 0.0000 0.0000 0.9141
Ce 0.3333 0.6667 0.5808
Ce 0.3333 0.6667 0.7526
Ce 0.6667 0.3333 0.2474
Ce 0.6667 0.3333 0.4192
Sc 0.0000 0.0000 0.0000
Sc 0.3333 0.6667 0.6667
Sc 0.6667 0.3333 0.3333
Hg 0.0000 0.0000 0.5000
Hg 0.3333 0.6667 0.1667
Hg 0.6667 0.3333 0.8333



The following is a PBE calculation of a geometry-optimized DyEr2Bi2 structure, from the Alexandria database.

**Calculated density**: 9.53 Mg/m³
**ΔH_f (0 K)**: -360 meV/atom
**Raw total energy**: -0.17116 hartree per atom

a b c (Å): 7.4627 6.1144 7.2294
angles (deg): 90.00 104.93 90.00
Fractional positions:
Dy 0.0000 0.0000 0.0000
Dy 0.5000 0.5000 0.0000
Er 0.0000 0.2487 0.5000
Er 0.0000 0.7513 0.5000
Er 0.5000 0.2513 0.5000
Er 0.5000 0.7487 0.5000
Bi 0.1741 0.5000 0.2069
Bi 0.3259 0.0000 0.7931
Bi 0.6741 0.0000 0.2069
Bi 0.8259 0.5000 0.7931



The following is a PBE calculation of a geometry-optimized FeAg2Pd9 structure, from the Alexandria database.

**Calculated density**: 10.96 Mg/m³
**ΔH_f (0 K)**: -40 meV/atom
**Raw total energy**: -0.18798 hartree per atom

a b c (Å): 3.9703 3.9703 11.8139
angles (deg): 90.00 90.00 90.00
Fractional positions:
Fe 0.0000 0.0000 0.0000
Ag 0.0000 0.0000 0.3298
Ag 0.0000 0.0000 0.6702
Pd 0.0000 0.5000 0.1571
Pd 0.0000 0.5000 0.5000
Pd 0.0000 0.5000 0.8429
Pd 0.5000 0.0000 0.1571
Pd 0.5000 0.0000 0.5000
Pd 0.5000 0.0000 0.8429
Pd 0.5000 0.5000 0.0000
Pd 0.5000 0.5000 0.3284
Pd 0.5000 0.5000 0.6716



The following is a PBE calculation of a geometry-optimized LiIn2Tc structure, from the Alexandria database.

**Calculated density**: 7.80 Mg/m³
**ΔH_f (0 K)**: 104 meV/atom
**Energy above the lowest structure with this stoichiometry**: 94 meV/atom
**Raw total energy**: -0.15931 hartree per atom

a b c (Å): 3.9012 3.9012 9.3563
angles (deg): 90.00 90.00 90.00
Fractional positions:
Li 0.0000 0.0000 0.0000
Li 0.5000 0.5000 0.5000
In 0.0000 0.0000 0.5000
In 0.0000 0.5000 0.2500
In 0.5000 0.0000 0.7500
In 0.5000 0.5000 0.0000
Tc 0.0000 0.5000 0.7500
Tc 0.5000 0.0000 0.2500



The following is a PBE calculation of a geometry-optimized Ba6In2IN structure, from the Alexandria database.

**Calculated density**: 4.61 Mg/m³
**Raw total energy**: -0.11878 hartree per atom

a b c (Å): 8.0698 8.8946 14.4437
angles (deg): 90.00 123.84 90.00
Fractional positions:
Ba 0.1152 0.0351 0.2207
Ba 0.1152 0.4649 0.7207
Ba 0.2115 0.7239 0.0556
Ba 0.2115 0.7761 0.5556
Ba 0.3380 0.1627 0.0518
Ba 0.3380 0.3373 0.5518
Ba 0.6620 0.6627 0.4482
Ba 0.6620 0.8373 0.9482
Ba 0.7885 0.2239 0.4444
Ba 0.7885 0.2761 0.9444
Ba 0.8848 0.5351 0.2793
Ba 0.8848 0.9649 0.7793
In 0.2767 0.0821 0.7436
In 0.2767 0.4179 0.2436
In 0.7233 0.5821 0.7564
In 0.7233 0.9179 0.2564
I 0.5000 0.0000 0.5000
I 0.5000 0.5000 0.0000
N 0.0000 0.0000 0.0000
N 0.0000 0.5000 0.5000



The following is a PBE calculation of a geometry-optimized LaGa2Sn2 structure, from the Alexandria database.

**Calculated density**: 6.91 Mg/m³
**ΔH_f (0 K)**: -366 meV/atom
**Energy above the lowest structure with this stoichiometry**: 55 meV/atom
**Raw total energy**: -0.15299 hartree per atom

a b c (Å): 7.9768 7.9768 3.8935
angles (deg): 90.00 90.00 90.00
Fractional positions:
La 0.0000 0.0000 0.0000
La 0.5000 0.5000 0.0000
Ga 0.1202 0.3798 0.0000
Ga 0.3798 0.8798 0.0000
Ga 0.6202 0.1202 0.0000
Ga 0.8798 0.6202 0.0000
Sn 0.1649 0.6649 0.5000
Sn 0.3351 0.1649 0.5000
Sn 0.6649 0.8351 0.5000
Sn 0.8351 0.3351 0.5000



The following is a PBE calculation of a geometry-optimized Rb3Zr2MnSe6 structure, from the Alexandria database.

**Calculated density**: 4.82 Mg/m³
**Raw total energy**: -0.19553 hartree per atom

a b c (Å): 6.9500 6.9500 8.2972
angles (deg): 98.02 98.02 119.99
Fractional positions:
Rb 0.0000 0.0000 0.0000
Rb 0.3342 0.6658 0.0000
Rb 0.6658 0.3342 0.0000
Zr 0.1668 0.8332 0.5000
Zr 0.8332 0.1668 0.5000
Mn 0.5000 0.5000 0.5000
Se 0.1028 0.4371 0.3113
Se 0.2284 0.2284 0.6883
Se 0.4371 0.1028 0.3113
Se 0.5629 0.8972 0.6887
Se 0.7716 0.7716 0.3117
Se 0.8972 0.5629 0.6887



The following is a PBE calculation of a geometry-optimized SrCa6Pr structure, from the Alexandria database.

**Calculated density**: 2.29 Mg/m³
**ΔH_f (0 K)**: 56 meV/atom
**Energy above the lowest structure with this stoichiometry**: 0 meV/atom
**Raw total energy**: -0.08279 hartree per atom

a b c (Å): 5.6162 5.6162 10.7792
angles (deg): 90.00 90.00 90.00
Fractional positions:
Sr 0.0000 0.0000 0.0000
Ca 0.0000 0.5000 0.2624
Ca 0.0000 0.5000 0.7376
Ca 0.5000 0.0000 0.2624
Ca 0.5000 0.0000 0.7376
Ca 0.5000 0.5000 0.0000
Ca 0.5000 0.5000 0.5000
Pr 0.0000 0.0000 0.5000



The following is a PBE calculation of a geometry-optimized LiGePSe2 structure, from the Alexandria database.

**Calculated density**: 4.46 Mg/m³
**Raw total energy**: -0.12250 hartree per atom

a b c (Å): 4.8659 4.8659 4.2177
angles (deg): 90.00 90.00 90.00
Fractional positions:
Li 0.0000 0.0000 0.0000
Ge 0.5000 0.5000 0.5000
P 0.0000 0.0000 0.5000
Se 0.0000 0.5000 0.0000
Se 0.5000 0.0000 0.0000